<i>
Below is an optimized crystal structure of Rb3AuS, with properties calculated at the GGA-PBE level.

abc: 6.3260 6.3260 6.3260
angles: 90.00 90.00 90.00
Fractional positions:
Rb 0.0000 0.0000 0.5000
Rb 0.0000 0.5000 0.0000
Rb 0.5000 0.0000 0.0000
Au 0.5000 0.5000 0.5000
S 0.0000 0.0000 0.0000

Computed properties:
The density of states at the Fermi level comes out at 0.0 states/eV/cell. For the total magnetization, the calculation gives 0.00 μB/f.u.

***

<ii>
Below is an optimized crystal structure of Rb3AuS, with properties calculated at the GGA-PBE level.

abc: 8.7985 5.0250 18.9969
angles: 90.00 90.00 90.00
Fractional positions:
Rb 0.0176 0.2500 0.0896
Rb 0.1292 0.7500 0.4528
Rb 0.1539 0.2500 0.7040
Rb 0.3461 0.7500 0.2040
Rb 0.3708 0.2500 0.9528
Rb 0.4824 0.7500 0.5896
Rb 0.5176 0.2500 0.4104
Rb 0.6292 0.7500 0.0472
Rb 0.6539 0.2500 0.7960
Rb 0.8461 0.7500 0.2960
Rb 0.8708 0.2500 0.5472
Rb 0.9824 0.7500 0.9104
Au 0.1473 0.2500 0.2976
Au 0.3527 0.7500 0.7976
Au 0.6473 0.2500 0.2024
Au 0.8527 0.7500 0.7024
S 0.2375 0.7500 0.0443
S 0.2625 0.2500 0.5443
S 0.7375 0.7500 0.4557
S 0.7625 0.2500 0.9557

Computed properties:
For the total magnetization, the calculation gives 0.08 μB/f.u.

***

It is <i> that is the least stable of them.

***

<i>
Below is an optimized crystal structure of RbSb2Au3, with properties calculated at the GGA-PBE level.

abc: 9.0343 9.0343 8.3634
angles: 110.58 110.58 31.54
Fractional positions:
Rb 0.1669 0.1669 0.0911
Rb 0.8331 0.8331 0.9089
Sb 0.1588 0.1588 0.6112
Sb 0.4677 0.4677 0.8022
Sb 0.5323 0.5323 0.1978
Sb 0.8412 0.8412 0.3888
Au 0.0018 0.0018 0.3139
Au 0.3056 0.3056 0.5521
Au 0.4025 0.4025 0.3172
Au 0.5975 0.5975 0.6828
Au 0.6944 0.6944 0.4479
Au 0.9982 0.9982 0.6861

Computed properties:
The density of states at the Fermi level comes out at 5.0 states/eV/cell. For the total magnetization, the calculation gives 0.00 μB/f.u.

***

<ii>
Below is an optimized crystal structure of RbSb2Au3, with properties calculated at the GGA-PBE level.

abc: 11.2012 11.2012 7.2111
angles: 107.39 107.39 24.40
Fractional positions:
Rb 0.0997 0.0997 0.4567
Rb 0.9003 0.9003 0.5433
Sb 0.2315 0.2315 0.1779
Sb 0.4743 0.4743 0.1634
Sb 0.5257 0.5257 0.8366
Sb 0.7685 0.7685 0.8221
Au 0.0906 0.0906 0.9281
Au 0.2651 0.2651 0.6088
Au 0.3364 0.3364 0.0455
Au 0.6636 0.6636 0.9545
Au 0.7349 0.7349 0.3912
Au 0.9094 0.9094 0.0719

Computed properties:
The density of states at the Fermi level comes out at 4.9 states/eV/cell. For the total magnetization, the calculation gives 0.00 μB/f.u.

***

It is <i> that is the least stable of them.

***

<i>
Below is an optimized crystal structure of RbSbAu4, with properties calculated at the GGA-PBE level.

abc: 6.3542 6.3542 8.8137
angles: 107.92 107.92 63.43
Fractional positions:
Rb 0.2078 0.2078 0.3227
Rb 0.7922 0.7922 0.6773
Sb 0.4703 0.4703 0.7275
Sb 0.5297 0.5297 0.2725
Au 0.1037 0.6792 0.0573
Au 0.2090 0.7910 0.5000
Au 0.2310 0.2310 0.7551
Au 0.3208 0.8963 0.9427
Au 0.6792 0.1037 0.0573
Au 0.7690 0.7690 0.2449
Au 0.7910 0.2090 0.5000
Au 0.8963 0.3208 0.9427

Computed properties:
The density of states at the Fermi level comes out at 5.6 states/eV/cell. For the total magnetization, the calculation gives 0.00 μB/f.u.

***

<ii>
Below is an optimized crystal structure of RbSbAu4, with properties calculated at the GGA-PBE level.

abc: 5.7864 5.7864 5.7864
angles: 60.00 60.00 60.00
Fractional positions:
Rb 0.0000 0.0000 0.0000
Sb 0.7500 0.7500 0.7500
Au 0.3751 0.3751 0.3751
Au 0.3751 0.3751 0.8746
Au 0.3751 0.8746 0.3751
Au 0.8746 0.3751 0.3751

Computed properties:
The density of states at the Fermi level comes out at 1.7 states/eV/cell. For the total magnetization, the calculation gives 0.00 μB/f.u.

***

It is <ii> that is the least stable of them.

***

<i>
Below is an optimized crystal structure of RbSbAu3, with properties calculated at the GGA-PBE level.

abc: 6.9136 6.5085 6.9355
angles: 90.00 90.00 90.00
Fractional positions:
Rb 0.0000 0.1216 0.0000
Rb 0.5000 0.8784 0.5000
Sb 0.0000 0.6413 0.3330
Sb 0.5000 0.3587 0.8330
Au 0.0000 0.0216 0.4792
Au 0.2024 0.3768 0.5907
Au 0.2976 0.6232 0.0907
Au 0.5000 0.9784 0.9792
Au 0.7024 0.6232 0.0907
Au 0.7976 0.3768 0.5907

Computed properties:
The density of states at the Fermi level comes out at 3.0 states/eV/cell. For the total magnetization, the calculation gives 0.00 μB/f.u.

***

<ii>
Below is an optimized crystal structure of RbSbAu3, with properties calculated at the GGA-PBE level.

abc: 5.6307 5.6307 5.6307
angles: 90.00 90.00 90.00
Fractional positions:
Rb 0.0000 0.0000 0.0000
Sb 0.5000 0.5000 0.5000
Au 0.0000 0.0000 0.5000
Au 0.0000 0.5000 0.0000
Au 0.5000 0.0000 0.0000

Computed properties:
The density of states at the Fermi level comes out at 5.3 states/eV/cell. For the total magnetization, the calculation gives 0.00 μB/f.u.

***

<iii>
Below is an optimized crystal structure of RbSbAu3, with properties calculated at the GGA-PBE level.

abc: 5.4084 5.4084 5.4084
angles: 90.00 90.00 90.00
Fractional positions:
Rb 0.0000 0.0000 0.0000
Sb 0.5000 0.5000 0.5000
Au 0.0000 0.5000 0.5000
Au 0.5000 0.0000 0.5000
Au 0.5000 0.5000 0.0000

Computed properties:
The density of states at the Fermi level comes out at 1.1 states/eV/cell. For the total magnetization, the calculation gives 0.00 μB/f.u.

***

It is <ii> that is the least stable of them.